[1]
Below is a relaxed Er3Zn8Ir crystal, with properties calculated at the GGA-PBE level.

total magnetization: 0.000 μB per atom
ΔH_f (0 K): -0.33 eV per atom

POSCAR file:
```
Er3Zn8Ir
1.0
2.618 1.512 8.805
-2.618 1.512 8.805
0.000 -3.023 8.805
Er Zn Ir
3 8 1
Direct
0.000 0.000 0.000
0.126 0.126 0.126
0.516 0.516 0.516
0.061 0.567 0.567
0.070 0.070 0.568
0.070 0.568 0.070
0.317 0.317 0.317
0.567 0.061 0.567
0.567 0.567 0.061
0.568 0.070 0.070
0.819 0.819 0.819
0.623 0.623 0.623
```

---

[2]
Below is a relaxed ZrTa3Sn crystal, with properties calculated at the GGA-PBE level.

total magnetization: 0.000 μB per atom
ΔH_f (0 K): 1.64 eV per atom
energy above the most stable polymorph in this dataset: 0 meV per atom

POSCAR file:
```
ZrTa3Sn
1.0
5.005 0.000 0.000
0.000 5.005 0.000
0.000 0.000 5.005
Zr Ta Sn
1 3 1
Direct
0.000 0.000 0.000
0.000 0.500 0.500
0.500 0.000 0.500
0.500 0.500 0.000
0.500 0.500 0.500
```

---

[3]
Below is a relaxed LiCa2Pd crystal, with properties calculated at the GGA-PBE level.

total magnetization: 0.000 μB per atom
ΔH_f (0 K): -0.14 eV per atom

POSCAR file:
```
LiCa2Pd
1.0
-4.067 4.067 3.347
4.067 -4.067 3.347
4.067 4.067 -3.347
Li Ca Pd
2 4 2
Direct
0.000 0.000 0.000
0.750 0.250 0.500
0.164 0.625 0.039
0.375 0.414 0.539
0.586 0.125 0.961
0.875 0.836 0.461
0.250 0.750 0.500
0.500 0.500 0.000
```

---

[4]
Below is a relaxed Er4ZrIn5 crystal, with properties calculated at the GGA-PBE level.

total magnetization: 0.000 μB per atom
ΔH_f (0 K): -0.39 eV per atom

POSCAR file:
```
Er4ZrIn5
1.0
3.501 0.000 0.000
0.000 3.501 0.000
0.000 0.000 20.507
Er Zr In
4 1 5
Direct
0.000 0.000 0.102
0.000 0.000 0.305
0.000 0.000 0.695
0.000 0.000 0.898
0.000 0.000 0.500
0.500 0.500 0.000
0.500 0.500 0.204
0.500 0.500 0.407
0.500 0.500 0.593
0.500 0.500 0.796
```

---

[5]
Below is a relaxed CdSbRu2 crystal, with properties calculated at the GGA-PBE level.

total magnetization: 0.000 μB per atom
formation energy without anion corrections: 0.302 eV/atom

POSCAR file:
```
CdSbRu2
1.0
3.080 0.000 0.000
0.000 4.006 0.000
-1.300 0.000 5.720
Cd Sb Ru
1 1 2
Direct
0.000 0.000 0.000
0.000 0.000 0.500
0.384 0.500 0.736
0.616 0.500 0.264
```

---

[6]
Below is a relaxed Sm2Si4Ir3Ru crystal, with properties calculated at the GGA-PBE level.

total magnetization: 0.000 μB per atom
formation energy without anion corrections: -1.012 eV/atom

POSCAR file:
```
Sm2Si4Ir3Ru
1.0
4.210 0.000 0.000
0.000 4.210 0.000
0.000 0.000 9.695
Sm Si Ir Ru
2 4 3 1
Direct
0.000 0.500 0.247
0.500 0.000 0.753
0.000 0.000 0.000
0.000 0.500 0.624
0.500 0.000 0.376
0.500 0.500 0.000
0.000 0.500 0.874
0.500 0.000 0.126
0.500 0.500 0.500
0.000 0.000 0.500
```

---

[7]
Below is a relaxed MoIrRu2 crystal, with properties calculated at the GGA-PBE level.

total magnetization: 0.000 μB per atom
ΔH_f (0 K): -0.15 eV per atom
energy above the most stable polymorph in this dataset: 21 meV per atom

POSCAR file:
```
MoIrRu2
1.0
3.877 0.000 0.000
0.000 3.877 0.000
0.000 0.000 3.848
Mo Ir Ru
1 1 2
Direct
0.000 0.000 0.000
0.500 0.500 0.000
0.000 0.500 0.500
0.500 0.000 0.500
```

---

[8]
Below is a relaxed Pm2HoC2Br2 crystal, with properties calculated at the GGA-PBE level.

total magnetization: 0.000 μB per atom
formation energy without anion corrections: -0.648 eV/atom

POSCAR file:
```
Pm2HoC2Br2
1.0
-2.262 2.262 7.746
2.262 -2.262 7.746
2.262 2.262 -7.746
Pm Ho C Br
2 1 2 2
Direct
0.100 0.100 0.000
0.900 0.900 0.000
0.500 0.500 0.000
0.000 0.500 0.500
0.500 0.000 0.500
0.309 0.309 0.000
0.691 0.691 0.000
```

---

[9]
Below is a relaxed ThVGa3 crystal, with properties calculated at the GGA-PBE level.

total magnetization: 0.000 μB per atom
ΔH_f (0 K): -0.42 eV per atom

POSCAR file:
```
ThVGa3
1.0
6.282 0.000 0.000
-3.141 5.440 0.000
0.000 0.000 5.676
Th V Ga
2 2 6
Direct
0.333 0.667 0.250
0.667 0.333 0.750
0.000 0.000 0.000
0.000 0.000 0.500
0.193 0.386 0.750
0.193 0.807 0.750
0.386 0.193 0.250
0.614 0.807 0.750
0.807 0.193 0.250
0.807 0.614 0.250
```

---

[10]
Below is a relaxed YB2Os crystal, with properties calculated at the GGA-PBE level.

total magnetization: 0.000 μB per atom
ΔH_f (0 K): 0.32 eV per atom
energy above the most stable polymorph in this dataset: 881 meV per atom

POSCAR file:
```
YB2Os
1.0
0.000 2.936 2.936
2.936 0.000 2.936
2.936 2.936 0.000
Y B Os
1 2 1
Direct
0.000 0.000 0.000
0.250 0.250 0.250
0.750 0.750 0.750
0.500 0.500 0.500
```

---

[11]
Below is a relaxed SmYHoEr2 crystal, with properties calculated at the GGA-PBE level.

total magnetization: 0.000 μB per atom
ΔH_f (0 K): 0.38 eV per atom

POSCAR file:
```
SmYHoEr2
1.0
4.165 -5.717 0.000
4.165 5.717 0.000
0.000 0.000 7.177
Sm Y Ho Er
2 2 2 4
Direct
0.221 0.779 0.750
0.779 0.221 0.250
0.229 0.771 0.250
0.771 0.229 0.750
0.490 0.510 0.750
0.510 0.490 0.250
0.190 0.190 0.000
0.190 0.190 0.500
0.810 0.810 0.000
0.810 0.810 0.500
```

---

[12]
Below is a relaxed Ac2AlTl2 crystal, with properties calculated at the GGA-PBE level.

total magnetization: 0.000 μB per atom
ΔH_f (0 K): -0.34 eV per atom

POSCAR file:
```
Ac2AlTl2
1.0
6.222 -2.420 0.000
6.222 2.420 0.000
-5.307 0.000 10.622
Ac Al Tl
4 2 4
Direct
0.002 0.002 0.165
0.184 0.184 0.610
0.816 0.816 0.390
0.998 0.998 0.835
0.297 0.297 0.170
0.703 0.703 0.830
0.336 0.336 0.940
0.467 0.467 0.615
0.533 0.533 0.385
0.664 0.664 0.060
```